No. 1
Computed, not measured: a relaxed structure of YAlGaHg2 at the PBE level of DFT.

a = 5.8006 Å, b = 5.5935 Å, c = 5.8006 Å
α = 90.00°, β = 90.00°, γ = 90.00°
Element x y z (fractional)
Y: 0.0000 0.0000 0.0000
Hg: 0.0000 0.0000 0.5000
Hg: 0.5000 0.0000 0.0000
Ga: 0.0000 0.5000 0.0000
Al: 0.5000 0.5000 0.5000

Calculated values
The value obtained for the magnetization is 0.00 μB per cell. As for the space group: P4/mmm (123). The value obtained for the energy of formation is 3.459 eV/f.u. For the volume, the calculation gives 37.641 Å³ per atom. For the total energy, the calculation gives -10.38 eV/cell.

No. 2
Computed, not measured: a relaxed structure of AlZnGaHg at the PBE level of DFT.

a = 4.7777 Å, b = 4.7777 Å, c = 4.7777 Å
α = 60.00°, β = 60.00°, γ = 60.00°
Element x y z (fractional)
Zn: 0.5000 0.5000 0.5000
Hg: 0.7500 0.7500 0.7500
Ga: 0.2500 0.2500 0.2500
Al: 0.0000 0.0000 0.0000

Calculated values
The value obtained for the magnetization is 0.00 μB per cell. As for the space group: F-43m (216). The value obtained for the energy of formation is 0.765 eV/f.u. For the volume, the calculation gives 19.278 Å³ per atom. For the total energy, the calculation gives -7.58 eV/cell.